Entry 1:
# ScTiBi2 | the Alexandria database | PBE-GGA | relaxed
data_ScTiBi2
_chemical_formula_sum 'Sc1 Ti1 Bi2'
_cell_length_a 5.150
_cell_length_b 5.150
_cell_length_c 5.150
_cell_angle_alpha 60.00
_cell_angle_beta 60.00
_cell_angle_gamma 60.00
_symmetry_space_group_name_H-M 'P 1'
_symmetry_Int_Tables_number 1
loop_
_symmetry_equiv_pos_as_xyz
'x,y,z'
loop_
_atom_site_label
_atom_site_fract_x
_atom_site_fract_y
_atom_site_fract_z
Sc1 0.000 0.000 0.000
Bi1 0.250 0.250 0.250
Bi2 0.750 0.750 0.750
Ti1 0.500 0.500 0.500
# * E_tot: -5.68 eV per atom
# * crystal system: cubic

---

Entry 2:
# Sc2TiBi | the Alexandria database | PBE-GGA | relaxed
data_Sc2TiBi
_chemical_formula_sum 'Sc2 Ti1 Bi1'
_cell_length_a 3.324
_cell_length_b 3.324
_cell_length_c 10.021
_cell_angle_alpha 80.45
_cell_angle_beta 80.45
_cell_angle_gamma 60.00
_symmetry_space_group_name_H-M 'P 1'
_symmetry_Int_Tables_number 1
loop_
_symmetry_equiv_pos_as_xyz
'x,y,z'
loop_
_atom_site_label
_atom_site_fract_x
_atom_site_fract_y
_atom_site_fract_z
Sc1 0.245 0.245 0.265
Sc2 0.755 0.755 0.735
Bi1 0.000 0.000 0.000
Ti1 0.500 0.500 0.500
# * E_tot: -6.15 eV per atom
# * crystal system: trigonal

---

Entry 3:
# Sc2TiBi2 | the Alexandria database | PBE-GGA | relaxed
data_Sc2TiBi2
_chemical_formula_sum 'Sc4 Ti2 Bi4'
_cell_length_a 7.686
_cell_length_b 7.686
_cell_length_c 4.102
_cell_angle_alpha 90.00
_cell_angle_beta 90.00
_cell_angle_gamma 90.00
_symmetry_space_group_name_H-M 'P 1'
_symmetry_Int_Tables_number 1
loop_
_symmetry_equiv_pos_as_xyz
'x,y,z'
loop_
_atom_site_label
_atom_site_fract_x
_atom_site_fract_y
_atom_site_fract_z
Sc1 0.154 0.654 0.500
Sc2 0.654 0.846 0.500
Sc3 0.846 0.346 0.500
Sc4 0.346 0.154 0.500
Bi1 0.347 0.847 0.000
Bi2 0.847 0.653 0.000
Bi3 0.653 0.153 0.000
Bi4 0.153 0.347 0.000
Ti1 0.000 0.000 0.000
Ti2 0.500 0.500 0.000
# * E_tot: -6.01 eV per atom
# * crystal system: tetragonal

---

Entry 4:
# Sc2TiBi | the Alexandria database | PBE-GGA | relaxed
data_Sc2TiBi
_chemical_formula_sum 'Sc4 Ti2 Bi2'
_cell_length_a 8.063
_cell_length_b 8.063
_cell_length_c 6.429
_cell_angle_alpha 51.16
_cell_angle_beta 51.16
_cell_angle_gamma 90.00
_symmetry_space_group_name_H-M 'P 1'
_symmetry_Int_Tables_number 1
loop_
_symmetry_equiv_pos_as_xyz
'x,y,z'
loop_
_atom_site_label
_atom_site_fract_x
_atom_site_fract_y
_atom_site_fract_z
Sc1 0.621 0.125 0.250
Sc2 0.129 0.625 0.250
Sc3 0.375 0.379 0.750
Sc4 0.875 0.871 0.750
Bi1 0.000 0.000 0.000
Bi2 0.750 0.250 0.500
Ti1 0.500 0.500 0.000
Ti2 0.250 0.750 0.500
# * E_tot: -5.89 eV per atom
# * crystal system: tetragonal

---

Entry 5:
# ScTiBi3 | the Alexandria database | PBE-GGA | relaxed
data_ScTiBi3
_chemical_formula_sum 'Sc1 Ti1 Bi3'
_cell_length_a 5.400
_cell_length_b 5.400
_cell_length_c 5.400
_cell_angle_alpha 90.00
_cell_angle_beta 90.00
_cell_angle_gamma 90.00
_symmetry_space_group_name_H-M 'P 1'
_symmetry_Int_Tables_number 1
loop_
_symmetry_equiv_pos_as_xyz
'x,y,z'
loop_
_atom_site_label
_atom_site_fract_x
_atom_site_fract_y
_atom_site_fract_z
Sc1 0.500 0.500 0.500
Bi1 0.000 0.500 0.000
Bi2 0.000 0.000 0.500
Bi3 0.500 0.000 0.000
Ti1 0.000 0.000 0.000
# * E_tot: -4.90 eV per atom
# * crystal system: cubic

---

Entry 6:
# ScTi2Bi2 | the Alexandria database | PBE-GGA | relaxed
data_ScTi2Bi2
_chemical_formula_sum 'Sc2 Ti4 Bi4'
_cell_length_a 7.924
_cell_length_b 7.924
_cell_length_c 3.636
_cell_angle_alpha 90.00
_cell_angle_beta 90.00
_cell_angle_gamma 90.00
_symmetry_space_group_name_H-M 'P 1'
_symmetry_Int_Tables_number 1
loop_
_symmetry_equiv_pos_as_xyz
'x,y,z'
loop_
_atom_site_label
_atom_site_fract_x
_atom_site_fract_y
_atom_site_fract_z
Sc1 0.000 0.000 0.000
Sc2 0.500 0.500 0.000
Bi1 0.173 0.673 0.500
Bi2 0.673 0.827 0.500
Bi3 0.827 0.327 0.500
Bi4 0.327 0.173 0.500
Ti1 0.379 0.879 0.000
Ti2 0.879 0.621 0.000
Ti3 0.621 0.121 0.000
Ti4 0.121 0.379 0.000
# * E_tot: -6.00 eV per atom
# * crystal system: tetragonal

---

Entry 7:
# Sc2TiBi | the Alexandria database | PBE-GGA | relaxed
data_Sc2TiBi
_chemical_formula_sum 'Sc2 Ti1 Bi1'
_cell_length_a 4.112
_cell_length_b 4.679
_cell_length_c 4.679
_cell_angle_alpha 90.00
_cell_angle_beta 90.00
_cell_angle_gamma 90.00
_symmetry_space_group_name_H-M 'P 1'
_symmetry_Int_Tables_number 1
loop_
_symmetry_equiv_pos_as_xyz
'x,y,z'
loop_
_atom_site_label
_atom_site_fract_x
_atom_site_fract_y
_atom_site_fract_z
Sc1 0.000 0.000 0.500
Sc2 0.000 0.500 0.000
Bi1 0.500 0.500 0.500
Ti1 0.500 0.000 0.000
# * E_tot: -6.32 eV per atom
# * crystal system: tetragonal

---

Entry 8:
# Sc2TlBi | the Alexandria database | PBE-GGA | relaxed
data_Sc2TlBi
_chemical_formula_sum 'Sc2 Tl1 Bi1'
_cell_length_a 4.182
_cell_length_b 4.853
_cell_length_c 4.853
_cell_angle_alpha 90.00
_cell_angle_beta 90.00
_cell_angle_gamma 90.00
_symmetry_space_group_name_H-M 'P 1'
_symmetry_Int_Tables_number 1
loop_
_symmetry_equiv_pos_as_xyz
'x,y,z'
loop_
_atom_site_label
_atom_site_fract_x
_atom_site_fract_y
_atom_site_fract_z
Sc1 0.000 0.000 0.500
Sc2 0.000 0.500 0.000
Tl1 0.500 0.000 0.000
Bi1 0.500 0.500 0.500
# * E_tot: -5.05 eV per atom
# * crystal system: tetragonal

---

no.,formation enthalpy at 0 K (eV per atom),DOS at the Fermi energy (states/eV/f.u.),total moment (μB/f.u.)
1,-0.19,3.77,1.81
2,-0.05,5.66,0.00
3,-0.34,2.61,1.86
4,0.22,4.14,0.51
5,0.27,6.03,0.00
6,-0.03,5.30,1.19
7,-0.21,3.92,2.93
8,-0.32,4.45,1.06